## EuCoP2 (PBE)

Data for a geometry-optimized EuCoP2 structure.

Summary:
N(E_F)   0.565 states/eV/atom
E_form   -75.4 kJ/mol of atoms
SG   R-3m (166)
Final energy   -0.288 hartree per atom

```
EuCoP2
1.0
1.881 1.086 5.410
-1.881 1.086 5.410
0.000 -2.172 5.410
Eu Co P
1 1 2
Direct
0.000 0.000 0.000
0.500 0.500 0.500
0.216 0.216 0.216
0.784 0.784 0.784
```



## EuCo8P5 (PBE)

Data for a geometry-optimized EuCo8P5 structure.

Summary:
N(E_F)   1.190 states/eV/atom
E_form   -66.7 kJ/mol of atoms
SG   Pmmn (59)
Final energy   -0.273 hartree per atom

```
EuCo8P5
1.0
3.536 0.000 0.000
0.000 10.471 0.000
0.000 0.000 9.237
Eu Co P
2 16 10
Direct
0.250 0.250 0.177
0.750 0.750 0.823
0.250 0.006 0.889
0.250 0.082 0.480
0.250 0.250 0.850
0.250 0.418 0.480
0.250 0.494 0.889
0.250 0.609 0.303
0.250 0.750 0.544
0.250 0.891 0.303
0.750 0.109 0.697
0.750 0.250 0.456
0.750 0.391 0.697
0.750 0.506 0.111
0.750 0.582 0.520
0.750 0.750 0.150
0.750 0.918 0.520
0.750 0.994 0.111
0.250 0.250 0.615
0.250 0.559 0.662
0.250 0.630 0.066
0.250 0.870 0.066
0.250 0.941 0.662
0.750 0.059 0.338
0.750 0.130 0.934
0.750 0.370 0.934
0.750 0.441 0.338
0.750 0.750 0.385
```



## EuPaCo4 (PBE)

Data for a geometry-optimized EuPaCo4 structure.

Summary:
N(E_F)   1.766 states/eV/atom
E_form   -8.5 kJ/mol of atoms
SG   F-43m (216)
Final energy   -0.298 hartree per atom

```
EuPaCo4
1.0
0.000 3.542 3.542
3.542 0.000 3.542
3.542 3.542 0.000
Eu Pa Co
1 1 4
Direct
0.000 0.000 0.000
0.250 0.250 0.250
0.126 0.625 0.625
0.625 0.126 0.625
0.625 0.625 0.126
0.625 0.625 0.625
```



## EuPaCo2 (PBE)

Data for a geometry-optimized EuPaCo2 structure.

Summary:
N(E_F)   2.149 states/eV/atom
Energy relative to the lowest polymorph listed for this composition   134 meV per atom
E_form   -1.3 kJ/mol of atoms
SG   R-3m (166)
Final energy   -0.313 hartree per atom

```
EuPaCo2
1.0
1.817 1.049 7.192
-1.817 1.049 7.192
0.000 -2.098 7.192
Eu Pa Co
1 1 2
Direct
0.000 0.000 0.000
0.500 0.500 0.500
0.237 0.237 0.237
0.763 0.763 0.763
```